No. 1
Computed, not measured: an optimized crystal structure of LiCa2AgAu6 at the PBE level of DFT.

Cell: 5.515 6.776 6.842 Å, 71.94 66.56 66.23°
Space group P-1 (No. 2)
Inequivalent atoms, fractional coordinates:
Li 0.000 0.000 0.000 [1 per cell]
Ca 0.492 0.755 0.263 [2 per cell]
Ag 0.000 0.500 0.500 [1 per cell]
Au 0.010 0.310 0.171 [2 per cell]
Au 0.177 0.060 0.585 [2 per cell]
Au 0.491 0.691 0.828 [2 per cell]

E_tot ... -3.284 eV per atom
ΔE_f ... -4.41 eV/f.u.
Mass density ... 10.8 Mg/m³

---

No. 2
Computed, not measured: an optimized crystal structure of LiCaAgAu at the PBE level of DFT.

Cell: 7.941 4.569 5.526 Å, 90.00 118.68 90.00°
Space group Cm (No. 8)
Inequivalent atoms, fractional coordinates:
Li 0.000 0.000 0.000 [2 per cell]
Ca 0.009 0.500 0.526 [2 per cell]
Ag 0.221 0.500 0.165 [2 per cell]
Au 0.296 0.000 0.885 [2 per cell]

E_tot ... -2.976 eV per atom
ΔE_f ... -1.86 eV/f.u.
Mass density ... 6.6 Mg/m³

---

No. 3
Computed, not measured: an optimized crystal structure of CaMgAg2Au4 at the PBE level of DFT.

Cell: 4.7854 4.7854 23.4822 Å, 90.00 90.00 120.00°
Space group R-3m (No. 166, hexagonal axes)
Inequivalent atoms, fractional coordinates:
Ca 0.0000 0.0000 0.0000 [3 per cell]
Mg 0.0000 0.0000 0.5000 [3 per cell]
Ag 0.0000 0.0000 0.2526 [6 per cell]
Au 0.0000 0.0000 0.1307 [6 per cell]
Au 0.0000 0.0000 0.3832 [6 per cell]

E_tot ... -3.194 eV per atom
ΔE_f ... -3.14 eV/f.u.
Mass density ... 11.4 Mg/m³

---

No. 4
Computed, not measured: an optimized crystal structure of CaMg2AgAu4 at the PBE level of DFT.

Cell: 4.7996 4.7996 23.5822 Å, 90.00 90.00 120.00°
Space group R-3m (No. 166, hexagonal axes)
Inequivalent atoms, fractional coordinates:
Ca 0.0000 0.0000 0.0000 [3 per cell]
Mg 0.0000 0.0000 0.2464 [6 per cell]
Ag 0.0000 0.0000 0.5000 [3 per cell]
Au 0.0000 0.0000 0.1261 [6 per cell]
Au 0.0000 0.0000 0.3793 [6 per cell]

E_tot ... -3.132 eV per atom
ΔE_f ... -3.91 eV/f.u.
Mass density ... 10.4 Mg/m³

---

No. 5
Computed, not measured: an optimized crystal structure of Ca6Ag2AuN at the PBE level of DFT.

Cell: 6.981 7.669 12.132 Å, 90.00 122.72 90.00°
Space group P2_1/c (No. 14)
Inequivalent atoms, fractional coordinates:
Ca 0.113 0.029 0.228 [4 per cell]
Ca 0.210 0.716 0.054 [4 per cell]
Ca 0.343 0.166 0.049 [4 per cell]
Ag 0.295 0.090 0.752 [4 per cell]
Au 0.500 0.000 0.500 [2 per cell]
N 0.000 0.000 0.000 [2 per cell]

E_form (uncorrected) ... -496 meV/atom
E_tot ... -3.428 eV per atom
Mass density ... 4.1 Mg/m³

---

No. 6
Computed, not measured: an optimized crystal structure of CaNbAg2Au at the PBE level of DFT.

Cell: 5.173 5.173 5.229 Å, 90.00 90.00 90.00°
Space group P4/mmm (No. 123)
Inequivalent atoms, fractional coordinates:
Ca 0.000 0.000 0.000 [1 per cell]
Nb 0.500 0.500 0.000 [1 per cell]
Ag 0.000 0.500 0.500 [2 per cell]
Au 0.000 0.000 0.500 [1 per cell]

E_tot ... -3.339 eV per atom
ΔE_f ... 4.35 eV/f.u.
Mass density ... 6.5 Mg/m³

---

No. 7
Computed, not measured: an optimized crystal structure of CaAg2PAu at the PBE level of DFT.

Cell: 5.083 5.083 5.467 Å, 90.00 90.00 90.00°
Space group P4/mmm (No. 123)
Inequivalent atoms, fractional coordinates:
Ca 0.000 0.000 0.000 [1 per cell]
Ag 0.000 0.500 0.500 [2 per cell]
P 0.500 0.500 0.000 [1 per cell]
Au 0.000 0.000 0.500 [1 per cell]

E_tot ... -2.852 eV per atom
ΔE_f ... 2.13 eV/f.u.
Mass density ... 5.7 Mg/m³

---

No. 8
Computed, not measured: an optimized crystal structure of Ca4Ag2PbAu at the PBE level of DFT.

Cell: 5.2756 5.2756 26.0598 Å, 90.00 90.00 120.00°
Space group R-3m (No. 166, hexagonal axes)
Inequivalent atoms, fractional coordinates:
Ca 0.0000 0.0000 0.1201 [6 per cell]
Ca 0.0000 0.0000 0.3713 [6 per cell]
Ag 0.0000 0.0000 0.2479 [6 per cell]
Pb 0.0000 0.0000 0.5000 [3 per cell]
Au 0.0000 0.0000 0.0000 [3 per cell]

E_tot ... -3.102 eV per atom
ΔE_f ... -4.12 eV/f.u.
Mass density ... 6.2 Mg/m³

---

No. 9
Computed, not measured: an optimized crystal structure of Ca4AgPbAu2 at the PBE level of DFT.

Cell: 5.2502 5.2502 26.0492 Å, 90.00 90.00 120.00°
Space group R-3m (No. 166, hexagonal axes)
Inequivalent atoms, fractional coordinates:
Ca 0.0000 0.0000 0.1222 [6 per cell]
Ca 0.0000 0.0000 0.3734 [6 per cell]
Ag 0.0000 0.0000 0.0000 [3 per cell]
Pb 0.0000 0.0000 0.5000 [3 per cell]
Au 0.0000 0.0000 0.2537 [6 per cell]

E_tot ... -3.256 eV per atom
ΔE_f ... -4.93 eV/f.u.
Mass density ... 7.0 Mg/m³

---

No. 10
Computed, not measured: an optimized crystal structure of Ca3Ag2Pb2Au4 at the PBE level of DFT.

Cell: 4.7970 4.7970 13.9324 Å, 90.00 90.00 120.00°
Space group P-3m1 (No. 164)
Inequivalent atoms, fractional coordinates:
Ca 0.0000 0.0000 0.0000 [1 per cell]
Ca 0.0000 0.0000 0.2578 [2 per cell]
Ag 0.3333 0.6667 0.1419 [2 per cell]
Pb 0.3333 0.6667 0.5823 [2 per cell]
Au 0.3333 0.6667 0.3603 [2 per cell]
Au 0.3333 0.6667 0.8791 [2 per cell]

E_tot ... -3.368 eV per atom
ΔE_f ... -4.82 eV/f.u.
Mass density ... 9.2 Mg/m³

---

No. 11
Computed, not measured: an optimized crystal structure of Ca2AgPbAu at the PBE level of DFT.

Cell: 7.626 4.781 7.676 Å, 90.00 109.13 90.00°
Space group P2_1/m (No. 11)
Inequivalent atoms, fractional coordinates:
Ca 0.048 0.250 0.200 [2 per cell]
Ca 0.353 0.750 0.635 [2 per cell]
Ag 0.343 0.250 0.957 [2 per cell]
Pb 0.333 0.750 0.184 [2 per cell]
Au 0.069 0.250 0.605 [2 per cell]

E_tot ... -3.295 eV per atom
ΔE_f ... -2.63 eV/f.u.
Mass density ... 7.4 Mg/m³
Offset from the most stable computed form ... 0 meV/atom

---

No. 12
Computed, not measured: an optimized crystal structure of Ca2AgPbAu at the PBE level of DFT.

Cell: 6.004 6.004 5.210 Å, 90.00 90.00 90.00°
Space group P4/mmm (No. 123)
Inequivalent atoms, fractional coordinates:
Ca 0.000 0.500 0.000 [2 per cell]
Ag 0.000 0.000 0.500 [1 per cell]
Pb 0.000 0.000 0.000 [1 per cell]
Au 0.500 0.500 0.500 [1 per cell]

E_tot ... -2.683 eV per atom
ΔE_f ... 0.42 eV/f.u.
Mass density ... 5.2 Mg/m³
Offset from the most stable computed form ... 611 meV/atom